(1)
A relaxed NaCdGa2Au2 crystal. Source: the Alexandria database, functional PBE.

Computed properties:
**ΔE_f**: -252 meV per atom
**Space group**: P-3m1, No. 164

```
NaCdGa2Au2
1.0
4.577 0.000 0.000
-2.288 3.964 0.000
0.000 0.000 6.540
Au Na Ga Cd
2 1 2 1
direct
0.333 0.667 0.277
0.667 0.333 0.723
0.000 0.000 0.000
0.333 0.667 0.753
0.667 0.333 0.247
0.000 0.000 0.500
```


(2)
A relaxed NdZnRh crystal. Source: the Alexandria database, functional PBE.

Computed properties:
**ΔE_f**: -565 meV per atom
**Space group**: P-6m2, No. 187

```
NdZnRh
1.0
-1.162 0.954 -3.533
3.861 -1.286 -1.617
-3.303 -2.857 0.314
Nd Zn Rh
1 1 1
direct
0.667 0.333 0.667
0.167 0.667 0.333
0.166 0.000 0.000
```


(3)
A relaxed CsLiTbS2 crystal. Source: the Alexandria database, functional PBE.

Computed properties:
**Space group**: Cmme, No. 67
**Raw formation energy**: -1.2558 eV per atom

```
CsLiTbS2
1.0
6.063 0.000 0.000
0.000 7.302 0.000
0.000 -3.651 7.532
Li Cs S Tb
2 2 4 2
direct
0.000 0.000 0.000
0.000 0.500 0.000
0.780 0.250 0.500
0.220 0.750 0.500
0.296 0.400 0.799
0.704 0.900 0.799
0.704 0.600 0.201
0.296 0.100 0.201
0.500 0.750 0.000
0.500 0.250 0.000
```


Going through the records in order, we get calculated total energy values of -2.726; -5.029; -4.386 eV/atom.
Going through the records in order, we get total magnetic moment values of 0.0; 0.0; 0.5 μB/f.u..